The following is a DFT calculation (PBE) of a relaxed SmY8Th4 crystal.

a = 7.4025 Å, b = 7.4025 Å, c = 9.9253 Å
α = 90.00°, β = 111.90°, γ = 120.00°
Closest atoms and distances in Å follow each position.
Fractional positions:
Sm  0.0000  0.5000  0.5000  6 Y 2.94
Y  0.5582  0.7791  0.3373  9 Y 3.70-3.72, 3 Th 3.70
Y  0.4418  0.2209  0.6627  9 Y 3.70-3.72, 3 Th 3.70
Y  0.5002  0.2501  0.3081  1 Sm 2.94, 2 Y 3.27
Y  0.9420  0.1921  0.6919  1 Sm 2.94, 2 Y 3.27
Y  0.4998  0.7499  0.6919  1 Sm 2.94, 2 Y 3.27
Y  0.9420  0.7499  0.6919  1 Sm 2.94, 2 Y 3.27
Y  0.0580  0.2501  0.3081  1 Sm 2.94, 2 Y 3.27
Y  0.0580  0.8079  0.3081  1 Sm 2.94, 2 Y 3.27
Th  0.0000  0.0000  0.0000  6 Y 3.35, 6 Th 3.70
Th  0.0000  0.5000  0.0000  6 Y 3.57-3.70, 6 Th 3.70
Th  0.5000  0.5000  0.0000  6 Y 3.57-3.70, 6 Th 3.70
Th  0.5000  0.0000  0.0000  6 Y 3.57-3.70, 6 Th 3.70

Properties
Formation enthalpy at 0 K ... 0.2207 eV/atom
Density ... 6.99 g/cm3

***

The following is a DFT calculation (PBE) of a relaxed DyYLuZn crystal.

a = 5.2993 Å, b = 5.2993 Å, c = 5.2993 Å
α = 60.00°, β = 60.00°, γ = 60.00°
Closest atoms and distances in Å follow each position.
Fractional positions:
Y  0.7500  0.7500  0.7500  4 Lu 3.25, 4 Zn 3.25
Zn  0.0000  0.0000  0.0000  4 Y 3.25, 4 Dy 3.25
Lu  0.5000  0.5000  0.5000  4 Dy 3.25, 4 Y 3.25
Dy  0.2500  0.2500  0.2500  4 Zn 3.25, 4 Lu 3.25

Properties
Formation enthalpy at 0 K ... 0.0230 eV/atom
Density ... 7.76 g/cm3

***

Copy entry 2 word for word.
The following is a DFT calculation (PBE) of a relaxed DyYLuZn crystal.

a = 5.2993 Å, b = 5.2993 Å, c = 5.2993 Å
α = 60.00°, β = 60.00°, γ = 60.00°
Closest atoms and distances in Å follow each position.
Fractional positions:
Y  0.7500  0.7500  0.7500  4 Lu 3.25, 4 Zn 3.25
Zn  0.0000  0.0000  0.0000  4 Y 3.25, 4 Dy 3.25
Lu  0.5000  0.5000  0.5000  4 Dy 3.25, 4 Y 3.25
Dy  0.2500  0.2500  0.2500  4 Zn 3.25, 4 Lu 3.25

Properties
Formation enthalpy at 0 K ... 0.0230 eV/atom
Density ... 7.76 g/cm3